An optimized crystal structure of ScZnMo2, computed with PBE.

Properties
The value obtained for the raw total energy is -7.379 eV per atom. For the energy above the lowest structure with this stoichiometry, the calculation gives 0 meV/atom. The magnetic moment comes out at 0.00 Bohr magnetons per cell. The formation energy from the elements is -0.062 eV/atom.

Cell lengths 3.2555, 3.2555, 6.3874 Å; angles 90.00, 90.00, 90.00 degrees
Last column: nearest neighbours and their distance in Å.
Space group P4mm (No. 99)
Asymmetric unit:
Sc: 0.0000 0.0000 0.0000 x1  4 Zn 2.88, 5 Mo 2.91-3.11
Zn: 0.5000 0.5000 0.2702 x1  5 Mo 2.77-2.89, 4 Sc 2.88
Mo: 0.0000 0.0000 0.5126 x1  4 Mo 2.66, 4 Zn 2.77
Mo: 0.5000 0.5000 0.7222 x1  4 Mo 2.66, 1 Zn 2.89, 4 Sc 2.91


An optimized crystal structure of ScZnMo2, computed with PBE.

Properties
The value obtained for the raw total energy is -7.162 eV per atom. For the energy above the lowest structure with this stoichiometry, the calculation gives 217 meV/atom. The magnetic moment comes out at 0.00 Bohr magnetons per cell. The formation energy from the elements is 0.155 eV/atom.

Cell lengths 2.7211, 2.7211, 9.0039 Å; angles 90.00, 90.00, 90.00 degrees
Last column: nearest neighbours and their distance in Å.
Space group P4mm (No. 99)
Asymmetric unit:
Sc: 0.0000 0.0000 0.0000 x1  4 Sc 2.72, 4 Zn 2.99, 4 Mo 3.03
Zn: 0.5000 0.5000 0.2539 x1  4 Zn 2.72, 4 Mo 2.82, 4 Sc 2.99
Mo: 0.0000 0.0000 0.4823 x1  8 Mo 2.72-3.01, 4 Zn 2.82
Mo: 0.5000 0.5000 0.7400 x1  8 Mo 2.72-3.01, 4 Sc 3.03


An optimized crystal structure of ScZnMo2, computed with PBE.

Properties
The value obtained for the raw total energy is -7.260 eV per atom. For the energy above the lowest structure with this stoichiometry, the calculation gives 119 meV/atom. The magnetic moment comes out at 0.00 Bohr magnetons per cell. The formation energy from the elements is 0.057 eV/atom.

Cell lengths 2.8032, 4.3145, 5.7101 Å; angles 90.00, 101.50, 90.00 degrees
Last column: nearest neighbours and their distance in Å.
Space group Pm (No. 6)
Asymmetric unit:
Sc: 0.0000 0.0000 0.0000 x1  2 Sc 2.80, 6 Mo 2.84-3.13, 4 Zn 2.95-2.97
Zn: 0.5988 0.5000 0.2612 x1  6 Mo 2.76-3.00, 2 Zn 2.80, 4 Sc 2.95-2.97
Mo: 0.1657 0.0000 0.5192 x1  4 Mo 2.57-2.80, 1 Sc 2.87
Mo: 0.5047 0.5000 0.7337 x1  4 Mo 2.57-2.80, 1 Zn 2.76, 2 Sc 2.84


An optimized crystal structure of Sc2ZnMo, computed with PBE.

Properties
The value obtained for the raw total energy is -5.804 eV per atom. For the energy above the lowest structure with this stoichiometry, the calculation gives 454 meV/atom. The magnetic moment comes out at 0.00 Bohr magnetons per cell. The formation energy from the elements is 0.388 eV/atom.

Cell lengths 2.9894, 2.9894, 30.1175 Å; angles 90.00, 90.00, 120.00 degrees
Last column: nearest neighbours and their distance in Å.
Space group R-3m (No. 166, hexagonal axes)
Asymmetric unit:
Sc: 0.0000 0.0000 0.0881 x6  1 Mo 2.65, 3 Zn 2.93
Zn: 0.0000 0.0000 0.5000 x3  6 Sc 2.93, 6 Zn 2.99
Mo: 0.0000 0.0000 0.0000 x3  2 Sc 2.65